The following is a DFT calculation (PBE) of an optimized crystal structure of Ac2TbErO6.

Calculated values
- Uncorrected energy: -8.178 eV/atom
- Density of states at the Fermi level: 0.000 states/eV per atom
- Density: 8.98 g cm⁻³
- Formation energy (no corrections): -3.462 eV/atom

Unit cell a=6.031 b=6.201 c=10.548 alpha=90.00 beta=124.80 gamma=90.00
Atoms (fractional coordinates):
Ac 0.236 0.047 0.250
Ac 0.236 0.453 0.750
Ac 0.764 0.547 0.250
Ac 0.764 0.953 0.750
Tb 0.500 0.000 0.000
Tb 0.500 0.500 0.500
Er 0.000 0.000 0.500
Er 0.000 0.500 0.000
O 0.134 0.202 0.937
O 0.134 0.298 0.437
O 0.237 0.698 0.938
O 0.237 0.802 0.438
O 0.364 0.050 0.748
O 0.364 0.450 0.248
O 0.636 0.550 0.752
O 0.636 0.950 0.252
O 0.763 0.198 0.562
O 0.763 0.302 0.062
O 0.866 0.702 0.563
O 0.866 0.798 0.063


The following is a DFT calculation (PBE) of an optimized crystal structure of AcErTcO6.

Calculated values
- Uncorrected energy: -7.959 eV/atom
- Density of states at the Fermi level: 0.621 states/eV per atom
- Density: 7.00 g cm⁻³
- Formation energy (no corrections): -2.539 eV/atom

Unit cell a=5.527 b=5.527 c=5.279 alpha=90.00 beta=90.00 gamma=120.00
Atoms (fractional coordinates):
Ac 0.000 0.000 0.000
Er 0.333 0.667 0.500
Tc 0.667 0.333 0.500
O 0.383 0.038 0.710
O 0.383 0.346 0.290
O 0.654 0.038 0.290
O 0.654 0.617 0.710
O 0.962 0.346 0.710
O 0.962 0.617 0.290


The following is a DFT calculation (PBE) of an optimized crystal structure of AcErTc2O8.

Calculated values
- Uncorrected energy: -7.893 eV/atom
- Density: 5.49 g cm⁻³
- Formation energy (no corrections): -2.137 eV/atom

Unit cell a=5.896 b=5.896 c=7.210 alpha=90.00 beta=90.00 gamma=120.00
Atoms (fractional coordinates):
Ac 0.000 0.000 0.000
Er 0.000 0.000 0.500
Tc 0.333 0.667 0.781
Tc 0.667 0.333 0.219
O 0.156 0.316 0.714
O 0.159 0.844 0.714
O 0.316 0.159 0.286
O 0.333 0.667 0.031
O 0.667 0.333 0.969
O 0.684 0.841 0.714
O 0.841 0.156 0.286
O 0.844 0.684 0.286


The following is a DFT calculation (PBE) of an optimized crystal structure of AcEr2TcO8.

Calculated values
- Uncorrected energy: -7.888 eV/atom
- Density: 7.24 g cm⁻³
- Formation energy (no corrections): -2.616 eV/atom

Unit cell a=5.083 b=6.988 c=5.087 alpha=90.00 beta=91.60 gamma=90.00
Atoms (fractional coordinates):
Ac 0.000 0.000 0.000
Er 0.500 0.248 0.500
Er 0.500 0.752 0.500
Tc 0.000 0.500 0.000
O 0.189 0.304 0.188
O 0.189 0.696 0.188
O 0.262 0.500 0.738
O 0.323 0.000 0.675
O 0.677 0.000 0.325
O 0.738 0.500 0.262
O 0.811 0.304 0.812
O 0.811 0.696 0.812